VASP calculation (GGA-PBE) on a relaxed structure of Ce4NdAs6.

Calculated values
**Uncorrected energy**: -6.277 eV per atom
**E_form**: -12.64 eV per formula unit
**Symmetry**: R-3c (167)

Geometry as CIF:
```
data_Ce4NdAs6
_space_group_name_H-M_alt 'P 1'
_space_group_IT_number 1
_cell_length_a 8.2755
_cell_length_b 8.2755
_cell_length_c 8.2755
_cell_angle_alpha 88.85
_cell_angle_beta 88.85
_cell_angle_gamma 88.85
loop_
_space_group_symop_operation_xyz
'x,y,z'
loop_
_atom_site_label
_atom_site_fract_x
_atom_site_fract_y
_atom_site_fract_z
Ce1 0.1343 0.7500 0.3657
Ce2 0.2500 0.2500 0.2500
Ce3 0.2500 0.6343 0.8657
Ce4 0.3657 0.1343 0.7500
Ce5 0.6343 0.8657 0.2500
Ce6 0.7500 0.3657 0.1343
Ce7 0.7500 0.7500 0.7500
Ce8 0.8657 0.2500 0.6343
Nd1 0.0000 0.0000 0.0000
Nd2 0.5000 0.5000 0.5000
As1 0.0668 0.9147 0.6706
As2 0.0853 0.3294 0.9332
As3 0.1706 0.4147 0.5668
As4 0.3294 0.9332 0.0853
As5 0.4147 0.5668 0.1706
As6 0.4332 0.8294 0.5853
As7 0.5668 0.1706 0.4147
As8 0.5853 0.4332 0.8294
As9 0.6706 0.0668 0.9147
As10 0.8294 0.5853 0.4332
As11 0.9147 0.6706 0.0668
As12 0.9332 0.0853 0.3294
```

---

VASP calculation (GGA-PBE) on a relaxed structure of MnFe2NiH.

Calculated values
**Uncorrected energy**: -6.968 eV per atom
**Symmetry**: P4/mmm (123)
**E above lowest polymorph**: 0 meV/atom

Geometry as CIF:
```
data_MnFe2NiH
_space_group_name_H-M_alt 'P 1'
_space_group_IT_number 1
_cell_length_a 3.6043
_cell_length_b 3.6043
_cell_length_c 3.6623
_cell_angle_alpha 90.00
_cell_angle_beta 90.00
_cell_angle_gamma 90.00
loop_
_space_group_symop_operation_xyz
'x,y,z'
loop_
_atom_site_label
_atom_site_fract_x
_atom_site_fract_y
_atom_site_fract_z
Mn1 0.0000 0.0000 0.0000
Fe1 0.0000 0.5000 0.5000
Fe2 0.5000 0.0000 0.5000
Ni1 0.5000 0.5000 0.0000
H1 0.0000 0.0000 0.5000
```

---

VASP calculation (GGA-PBE) on a relaxed structure of LiHg2Pb2.

Calculated values
**Uncorrected energy**: -1.932 eV per atom
**E_form**: 0.28 eV per formula unit
**Symmetry**: I4/mmm (139)
**E above lowest polymorph**: 205 meV/atom

Geometry as CIF:
```
data_LiHg2Pb2
_space_group_name_H-M_alt 'P 1'
_space_group_IT_number 1
_cell_length_a 8.6276
_cell_length_b 8.6276
_cell_length_c 8.6276
_cell_angle_alpha 151.71
_cell_angle_beta 151.71
_cell_angle_gamma 40.44
loop_
_space_group_symop_operation_xyz
'x,y,z'
loop_
_atom_site_label
_atom_site_fract_x
_atom_site_fract_y
_atom_site_fract_z
Li1 0.0000 0.0000 0.0000
Hg1 0.2500 0.7500 0.5000
Hg2 0.7500 0.2500 0.5000
Pb1 0.4006 0.4006 0.0000
Pb2 0.5994 0.5994 0.0000
```